Version P
VASP calculation (GGA-PBE) on a relaxed structure of InCo3S.

abc: 4.1429 4.1429 4.1429
angles: 90.00 90.00 90.00
Positions (direct):
1 In 0.0000 0.0000 0.0000
2 Co 0.0000 0.5000 0.5000
3 Co 0.5000 0.0000 0.5000
4 Co 0.5000 0.5000 0.0000
5 S 0.5000 0.5000 0.5000

Summary:
Crystal system: cubic
Space-group type: Pm-3m, No. 221

=====

Version Q
VASP calculation (GGA-PBE) on a relaxed structure of InCo3S.

abc: 4.7239 4.7239 4.7239
angles: 90.00 90.00 90.00
Positions (direct):
1 In 0.0000 0.0000 0.0000
2 Co 0.0000 0.0000 0.5000
3 Co 0.0000 0.5000 0.0000
4 Co 0.5000 0.0000 0.0000
5 S 0.5000 0.5000 0.5000

Summary:
Crystal system: cubic
Space-group type: Pm-3m, No. 221

=====

Which of them is the most stable, and which is the least stable? version P and version Q, in that order.